Entry from the Alexandria database: crystalline ErV2CuO8 at its relaxed geometry (PBE with a Hubbard U).

POSCAR file:
```
ErV2CuO8
1.0
5.765 0.000 0.000
-2.883 4.993 0.000
0.000 0.000 5.761
Er V Cu O
1 2 1 8
Direct
0.000 0.000 0.000
0.333 0.667 0.640
0.667 0.333 0.360
0.000 0.000 0.500
0.160 0.321 0.728
0.160 0.840 0.728
0.321 0.160 0.272
0.333 0.667 0.357
0.667 0.333 0.643
0.679 0.840 0.728
0.840 0.160 0.272
0.840 0.679 0.272
```

Properties
Total magnetization ... 1.991 μB/cell
Final energy ... -85.13 eV/f.u.